CsHg7 | GGA-PBE | relaxed

Lattice parameters (Å, degrees): 7.6201 7.6201 5.4694 90.00 90.00 120.00
Space group P-6m2 (No. 187)
Inequivalent atoms, fractional coordinates:
Cs 0.0000 0.0000 0.0000 (multiplicity 1)
Hg 0.0195 0.5098 0.0000 (multiplicity 3)
Hg 0.3333 0.6667 0.5000 (multiplicity 1)
Hg 0.3849 0.1924 0.5000 (multiplicity 3)

ΔE_f: -0.11 eV per atom
theoretical density: 9.28 g/cm³